Compound: K2SiBr
Source: Alexandria
Functional: GGA-PBEsol
Structure: relaxed

Values from the calculation:
ρ = 2.31 g/cm³
Energy above the most stable polymorph in this dataset = 0.0 meV/atom
Raw total energy = -2.677 eV per atom
Calculated volume = 33.50 A^3/atom

```
data_K2SiBr
_chemical_formula_sum 'K8 Si4 Br4'
_space_group_name_H-M_alt 'F m -3 m'
_space_group_IT_number 225
_space_group_name_Hall '-F 4 2 3'
_cell_length_a 8.1228
_cell_length_b 8.1228
_cell_length_c 8.1228
_cell_angle_alpha 90.00
_cell_angle_beta 90.00
_cell_angle_gamma 90.00
loop_
_atom_site_label
_atom_site_fract_x
_atom_site_fract_y
_atom_site_fract_z
K1 0.2500 0.2500 0.2500
Si1 0.0000 0.0000 0.0000
Br1 0.0000 0.0000 0.5000
```

=====

Compound: KSiBr
Source: Alexandria
Functional: GGA-PBEsol
Structure: relaxed

Values from the calculation:
D(E_F) = 12.03 states/eV per cell
ρ = 2.30 g/cm³
Raw total energy = -2.508 eV per atom
Calculated volume = 35.47 A^3/atom

```
data_KSiBr
_chemical_formula_sum 'K4 Si4 Br4'
_space_group_name_H-M_alt 'F -4 3 m'
_space_group_IT_number 216
_space_group_name_Hall 'F -4 2 3'
_cell_length_a 7.5224
_cell_length_b 7.5224
_cell_length_c 7.5224
_cell_angle_alpha 90.00
_cell_angle_beta 90.00
_cell_angle_gamma 90.00
loop_
_atom_site_label
_atom_site_fract_x
_atom_site_fract_y
_atom_site_fract_z
K1 0.0000 0.0000 0.0000
Si1 0.2500 0.2500 0.7500
Br1 0.2500 0.2500 0.2500
```

=====

Compound: KSiW2Br
Source: Alexandria
Functional: GGA-PBEsol
Structure: relaxed

Values from the calculation:
D(E_F) = 6.54 states/eV per cell
ρ = 7.40 g/cm³
Raw total energy = -5.130 eV per atom
Calculated volume = 23.09 A^3/atom

```
data_KSiW2Br
_chemical_formula_sum 'K1 Si1 W2 Br1'
_space_group_name_H-M_alt 'P 4/m m m'
_space_group_IT_number 123
_space_group_name_Hall '-P 4 2'
_cell_length_a 4.6288
_cell_length_b 4.6288
_cell_length_c 5.3887
_cell_angle_alpha 90.00
_cell_angle_beta 90.00
_cell_angle_gamma 90.00
loop_
_atom_site_label
_atom_site_fract_x
_atom_site_fract_y
_atom_site_fract_z
K1 0.0000 0.0000 0.0000
Si1 0.5000 0.5000 0.0000
W1 0.0000 0.5000 0.5000
Br1 0.0000 0.0000 0.5000
```

=====

Compound: K2SmBr5
Source: Alexandria
Functional: GGA-PBEsol
Structure: relaxed

Values from the calculation:
D(E_F) = 0.00 states/eV per cell
ρ = 4.21 g/cm³
Raw total energy = -3.932 eV per atom
Calculated volume = 30.93 A^3/atom

```
data_K2SmBr5
_chemical_formula_sum 'K8 Sm4 Br20'
_space_group_name_H-M_alt 'P n m a'
_space_group_IT_number 62
_cell_length_a 13.1917
_cell_length_b 8.9960
_cell_length_c 8.3403
_cell_angle_alpha 90.00
_cell_angle_beta 90.00
_cell_angle_gamma 90.00
loop_
_space_group_symop_operation_xyz
'x,y,z'
'-x,-y,-z'
'-x+1/2,-y,z+1/2'
'x+1/2,y,-z+1/2'
'x+1/2,-y+1/2,-z+1/2'
'-x+1/2,y+1/2,z+1/2'
'-x,y+1/2,-z'
'x,-y+1/2,z'
loop_
_atom_site_label
_atom_site_fract_x
_atom_site_fract_y
_atom_site_fract_z
K1 0.1721 0.0052 0.0616
Sm1 0.0063 0.2500 0.5792
Br1 0.0079 0.2500 0.9269
Br2 0.0739 0.5464 0.6697
Br3 0.1831 0.2500 0.3786
Br4 0.2057 0.7500 0.3423
```

=====

Compound: K3SnBr
Source: Alexandria
Functional: GGA-PBEsol
Structure: relaxed

Values from the calculation:
D(E_F) = 3.86 states/eV per cell
ρ = 2.33 g/cm³
Raw total energy = -2.419 eV per atom
Calculated volume = 45.05 A^3/atom

```
data_K3SnBr
_chemical_formula_sum 'K3 Sn1 Br1'
_space_group_name_H-M_alt 'P m -3 m'
_space_group_IT_number 221
_space_group_name_Hall '-P 4 2 3'
_cell_length_a 6.0846
_cell_length_b 6.0846
_cell_length_c 6.0846
_cell_angle_alpha 90.00
_cell_angle_beta 90.00
_cell_angle_gamma 90.00
loop_
_atom_site_label
_atom_site_fract_x
_atom_site_fract_y
_atom_site_fract_z
K1 0.0000 0.0000 0.5000
Sn1 0.5000 0.5000 0.5000
Br1 0.0000 0.0000 0.0000
```

=====

Compound: KSn2Br5
Source: Alexandria
Functional: GGA-PBEsol
Structure: relaxed

Values from the calculation:
D(E_F) = 0.00 states/eV per cell
ρ = 4.70 g/cm³
Raw total energy = -3.385 eV per atom
Calculated volume = 29.84 A^3/atom

```
data_KSn2Br5
_chemical_formula_sum 'K4 Sn8 Br20'
_space_group_name_H-M_alt 'I 4/m c m'
_space_group_IT_number 140
_space_group_name_Hall '-I 4 2c'
_cell_length_a 8.1556
_cell_length_b 8.1556
_cell_length_c 14.3546
_cell_angle_alpha 90.00
_cell_angle_beta 90.00
_cell_angle_gamma 90.00
loop_
_atom_site_label
_atom_site_fract_x
_atom_site_fract_y
_atom_site_fract_z
K1 0.0000 0.0000 0.2500
Sn1 0.1659 0.3341 0.0000
Br1 0.0000 0.0000 0.0000
Br2 0.1595 0.3405 0.3631
```

=====

Compound: K2SnBr6
Source: Alexandria
Functional: GGA-PBEsol
Structure: relaxed

Values from the calculation:
ρ = 3.88 g/cm³
Energy above the most stable polymorph in this dataset = 14.1 meV/atom
Raw total energy = -3.125 eV per atom
Calculated volume = 32.19 A^3/atom

```
data_K2SnBr6
_chemical_formula_sum 'K8 Sn4 Br24'
_space_group_name_H-M_alt 'F m -3 m'
_space_group_IT_number 225
_space_group_name_Hall '-F 4 2 3'
_cell_length_a 10.5042
_cell_length_b 10.5042
_cell_length_c 10.5042
_cell_angle_alpha 90.00
_cell_angle_beta 90.00
_cell_angle_gamma 90.00
loop_
_atom_site_label
_atom_site_fract_x
_atom_site_fract_y
_atom_site_fract_z
K1 0.2500 0.2500 0.2500
Sn1 0.0000 0.0000 0.0000
Br1 0.0000 0.0000 0.2486
```

=====

Compound: K2SnBr6
Source: Alexandria
Functional: GGA-PBEsol
Structure: relaxed

Values from the calculation:
D(E_F) = 0.00 states/eV per cell
ρ = 3.88 g/cm³
Energy above the most stable polymorph in this dataset = 0.0 meV/atom
Raw total energy = -3.139 eV per atom
Calculated volume = 32.19 A^3/atom

```
data_K2SnBr6
_chemical_formula_sum 'K4 Sn2 Br12'
_space_group_name_H-M_alt 'P 1 21/c 1'
_space_group_IT_number 14
_cell_length_a 7.3775
_cell_length_b 7.5530
_cell_length_c 12.6988
_cell_angle_alpha 90.00
_cell_angle_beta 125.02
_cell_angle_gamma 90.00
loop_
_space_group_symop_operation_xyz
'x,y,z'
'-x,-y,-z'
'-x,y+1/2,-z+1/2'
'x,-y+1/2,z+1/2'
loop_
_atom_site_label
_atom_site_fract_x
_atom_site_fract_y
_atom_site_fract_z
K1 0.2319 0.0605 0.2485
Sn1 0.5000 0.0000 0.0000
Br1 0.1784 0.2012 0.9641
Br2 0.2706 0.7154 0.9712
Br3 0.3180 0.0029 0.7524
```

=====

Among the records above, which one has the highest calculated volume?
K3SnBr

=====

Which of these has the highest ρ?
KSiW2Br

=====

Look up the ρ of the fifth one.
2.33 g/cm³

=====

Which of these has the highest raw total energy?
K3SnBr